(1)
PBE Tb3Pm3Pd2, optimized geometry; Fermi-level density of states = 14.8 states/eV/cell; calculated total energy = -41.45 eV per formula unit; size of the total moment = 0.00 Bohr magnetons per cell; formation energy = -0.3649 eV per atom
1.0
-3.671 -0.272 1.366
4.019 -2.930 4.575
1.970 15.917 8.462
Tb Pd Pm
6 4 6
Cartesian
-0.262 6.218 6.178
2.145 1.659 6.096
-1.083 -0.415 2.651
0.172 11.057 8.307
3.400 13.131 11.752
2.579 6.498 8.226
1.816 4.415 5.761
1.333 0.505 3.682
0.501 8.301 8.643
0.985 12.211 10.721
-0.703 2.945 4.340
1.415 9.331 5.661
0.334 -1.206 6.302
3.021 9.771 10.064
1.983 13.922 8.102
0.902 3.385 8.742



(2)
PBE Pr4Tl2CdIn, optimized geometry; Fermi-level density of states = 10.2 states/eV/cell; calculated total energy = -30.72 eV per formula unit; size of the total moment = 0.00 Bohr magnetons per cell; formation energy = -0.4015 eV per atom
1.0
5.540 0.000 0.000
2.770 4.798 0.000
2.770 1.599 9.052
Pr In Cd Tl
4 1 1 2
Cartesian
5.540 3.199 1.141
2.770 1.599 5.654
8.311 4.798 3.398
5.540 3.199 7.911
5.540 3.199 4.526
0.000 0.000 0.000
2.770 1.599 2.195
8.311 4.798 6.856



(3)
PBE TiCuHRh2, optimized geometry; energy above the most stable polymorph in this dataset = 0.00 eV per formula unit; Fermi-level density of states = 0.7 states/eV/cell; calculated total energy = -32.23 eV per formula unit; size of the total moment = 0.00 Bohr magnetons per cell
1.0
-3.444 0.823 -1.892
-2.034 -0.733 3.383
0.311 3.449 0.934
Rh Cu H Ti
2 1 1 1
Cartesian
-1.017 -0.367 1.692
-1.722 0.412 -0.946
0.156 1.725 0.467
0.000 0.000 0.000
-2.583 1.770 1.213



(4)
PBE Sr2ZnCl2O2, optimized geometry; Fermi-level density of states = 0.0 states/eV/cell; calculated total energy = -34.00 eV per formula unit; size of the total moment = 0.00 Bohr magnetons per cell
1.0
4.110 0.000 0.000
0.000 4.110 0.000
-2.055 -2.055 7.755
Zn Cl Sr O
1 2 2 2
Cartesian
0.000 0.000 0.000
2.055 2.055 4.946
0.000 0.000 2.809
2.055 2.055 1.655
0.000 0.000 6.100
2.055 0.000 0.000
0.000 2.055 0.000



(5)
PBE PrNd6Sm4, optimized geometry; energy above the most stable polymorph in this dataset = 0.00 eV per formula unit; Fermi-level density of states = 18.4 states/eV/cell; calculated total energy = -49.12 eV per formula unit; size of the total moment = 0.00 Bohr magnetons per cell; formation energy = 0.2862 eV per atom
1.0
7.636 -3.164 -5.731
-5.325 8.261 2.135
-2.040 3.164 9.326
Pr Nd Sm
1 6 4
Cartesian
0.000 0.000 0.000
-5.239 8.127 5.947
1.155 2.548 -1.798
3.503 0.134 -1.505
2.798 0.000 1.798
-1.298 5.126 4.225
-4.061 6.299 8.525
-2.543 9.350 7.788
-1.337 2.075 5.913
0.169 3.012 2.057
-3.383 5.249 1.434



(6)
PBE PmPrSnN3, optimized geometry; Fermi-level density of states = 4.3 states/eV/cell; calculated total energy = -42.17 eV per formula unit; size of the total moment = 0.00 Bohr magnetons per cell
1.0
3.437 0.000 0.000
0.000 6.615 1.289
0.000 -2.223 9.553
Pm N Pr Sn
2 6 2 2
Cartesian
0.859 4.166 1.924
2.578 0.226 8.919
0.859 4.335 6.329
2.578 5.552 3.032
2.578 0.057 4.513
0.859 2.076 9.141
2.578 2.316 1.702
0.859 -1.160 7.811
0.859 0.722 2.552
2.578 3.670 8.290
2.578 4.504 4.979
0.859 -0.112 5.863



(7)
PBE Sr2TmF8, optimized geometry; Fermi-level density of states = 8.2 states/eV/cell; calculated total energy = -62.50 eV per formula unit; size of the total moment = 1.08 Bohr magnetons per cell
1.0
-1.139 -3.527 -1.560
5.009 -2.281 1.503
-4.319 1.030 6.008
F Sr Tm
8 2 1
Cartesian
3.863 -1.868 1.405
-3.243 -0.601 3.726
-4.312 -2.910 4.546
-0.990 -1.952 5.137
0.179 -3.738 3.139
0.541 -2.827 0.813
-0.628 -1.040 2.811
2.794 -4.178 2.225
1.762 -1.803 2.791
-2.211 -2.976 3.160
-0.569 -1.764 -0.780



(8)
PBE ZrReAg2, optimized geometry; energy above the most stable polymorph in this dataset = 1.48 eV per formula unit; Fermi-level density of states = 5.4 states/eV/cell; calculated total energy = -24.39 eV per formula unit; size of the total moment = 0.00 Bohr magnetons per cell; formation energy = 0.5782 eV per atom
1.0
0.000 3.301 3.301
3.301 0.000 3.301
3.301 3.301 0.000
Ag Re Zr
2 1 1
Cartesian
1.650 1.650 1.650
4.951 4.951 4.951
3.301 3.301 3.301
0.000 0.000 0.000



Number 3 is which compound? TiCuHRh2